[1]
VASP calculation (GGA-PBE) on a relaxed structure of ErMnW2C4.

Cell and atoms, written as POSCAR:
```
ErMnW2C4
1.0
1.5894 -5.3799 0.0000
1.5894 5.3799 0.0000
0.0000 0.0000 10.6401
Er Mn W C
2 2 4 8
Cartesian
1.5894 4.2078 7.9800 Er
1.5894 -4.2078 2.6600 Er
1.5894 3.6940 2.6600 Mn
1.5894 -3.6940 7.9800 Mn
1.5894 1.3756 5.7460 W
1.5894 1.3756 10.2141 W
1.5894 -1.3756 0.4260 W
1.5894 -1.3756 4.8940 W
0.0000 0.0000 0.0000 C
0.0000 0.0000 5.3200 C
1.5894 2.5264 1.2370 C
1.5894 2.5264 4.0830 C
1.5894 0.7162 7.9800 C
1.5894 -0.7162 2.6600 C
1.5894 -2.5264 6.5570 C
1.5894 -2.5264 9.4031 C
```

Calculated values
* magnetization: 0.0 μB per formula unit
* crystal system: orthorhombic
* space group: Cmcm
* calculated volume: 11.4 Å³ per atom
* energy relative to the elements: -6.0 kJ/mol of atoms



[2]
VASP calculation (GGA-PBE) on a relaxed structure of Pm4Ho5Er2.

Cell and atoms, written as POSCAR:
```
Pm4Ho5Er2
1.0
9.5422 -2.8158 0.0000
9.5422 2.8158 0.0000
-0.1113 0.0000 6.6020
Pm Ho Er
4 5 2
Cartesian
0.3498 0.0000 1.9016 Pm
5.7288 0.0000 6.1260 Pm
13.2442 0.0000 0.4760 Pm
18.6232 0.0000 4.7004 Pm
2.3806 0.0000 5.8847 Ho
3.9310 0.0000 2.6543 Ho
9.5422 0.0000 0.0000 Ho
15.0420 0.0000 3.9477 Ho
16.5923 0.0000 0.7173 Ho
7.6239 0.0000 2.9453 Er
11.3490 0.0000 3.6566 Er
```

Calculated values
* magnetization: 0.0 μB per formula unit
* crystal system: monoclinic
* space group: C2/m
* calculated volume: 32.3 Å³ per atom
* ΔE to the lowest computed polymorph: 0.0 meV per atom
* energy relative to the elements: 10.5 kJ/mol of atoms



[3]
VASP calculation (GGA-PBE) on a relaxed structure of LaCdHRhAu.

Cell and atoms, written as POSCAR:
```
LaCdHRhAu
1.0
4.5800 0.0000 0.0000
0.0000 1.8323 5.5182
0.0000 -1.8323 5.5182
La Cd H Rh Au
1 1 1 1 1
Cartesian
0.0000 0.0000 0.0000 La
2.2900 0.0000 7.7163 Cd
2.2900 0.0000 10.3523 H
2.2900 0.0000 4.7600 Rh
0.0000 0.0000 2.9776 Au
```

Calculated values
* magnetization: 0.0 μB per formula unit
* crystal system: orthorhombic
* space group: Amm2
* calculated volume: 18.5 Å³ per atom
* ΔE to the lowest computed polymorph: 22.8 meV per atom



[4]
VASP calculation (GGA-PBE) on a relaxed structure of Rb2BaOF6.

Cell and atoms, written as POSCAR:
```
Rb2BaOF6
1.0
-3.0218 3.0218 5.8878
3.0218 -3.0218 5.8878
3.0218 3.0218 -5.8878
Rb Ba O F
2 1 1 6
Cartesian
3.0218 0.0000 2.9439 Rb
0.0000 3.0218 2.9439 Rb
0.0000 0.0000 0.0000 Ba
0.0000 0.0000 5.8878 O
0.0000 0.0000 2.5241 F
1.7782 1.7782 0.0000 F
1.2436 -1.2436 5.8878 F
-1.2436 1.2436 5.8878 F
1.2436 1.2436 5.8878 F
0.0000 0.0000 9.2515 F
```

Calculated values
* magnetization: 0.0 μB per formula unit
* uncorrected formation energy: -20.51 eV/f.u.
* crystal system: tetragonal
* space group: I4/mmm
* calculated volume: 21.5 Å³ per atom



[5]
VASP calculation (GGA-PBE) on a relaxed structure of InHPt2Br.

Cell and atoms, written as POSCAR:
```
InHPt2Br
1.0
5.1037 0.0000 0.0000
0.0000 5.1037 0.0000
0.0000 0.0000 3.2319
In H Pt Br
1 1 2 1
Cartesian
0.0000 0.0000 0.0000 In
2.5519 2.5519 0.0000 H
0.0000 2.5519 1.6160 Pt
2.5519 0.0000 1.6160 Pt
2.5519 2.5519 1.6160 Br
```

Calculated values
* magnetization: 0.0 μB per formula unit
* E_tot: -3.51 eV per atom
* crystal system: tetragonal
* space group: P4/mmm
* calculated volume: 16.8 Å³ per atom



[6]
VASP calculation (GGA-PBE) on a relaxed structure of AlC5.

Cell and atoms, written as POSCAR:
```
AlC5
1.0
3.8138 -1.2876 0.0000
3.8138 1.2876 0.0000
-1.3270 0.0000 5.1806
Al C
1 5
Cartesian
0.0000 0.0000 0.0000 Al
-0.2031 0.0000 1.9821 C
1.3459 0.0000 2.8779 C
2.9171 0.0000 2.5710 C
3.5092 0.0000 4.0113 C
4.9290 0.0000 3.7376 C
```

Calculated values
* magnetization: 0.0 μB per formula unit
* crystal system: monoclinic
* space group: Cm
* calculated volume: 8.5 Å³ per atom
* ΔE to the lowest computed polymorph: 0.0 meV per atom
* energy relative to the elements: 67.2 kJ/mol of atoms



[7]
VASP calculation (GGA-PBE) on a relaxed structure of Cr2IrCl.

Cell and atoms, written as POSCAR:
```
Cr2IrCl
1.0
2.9986 0.0000 0.0000
0.0000 2.9986 0.0000
0.0000 0.0000 7.1438
Cr Ir Cl
2 1 1
Cartesian
0.0000 0.0000 0.0000 Cr
1.4993 1.4993 1.6047 Cr
0.0000 0.0000 2.9115 Ir
1.4993 1.4993 5.5430 Cl
```

Calculated values
* magnetization: 1.3 μB per formula unit
* uncorrected formation energy: 1.12 eV/f.u.
* crystal system: tetragonal
* space group: P4mm
* calculated volume: 16.1 Å³ per atom
* ΔE to the lowest computed polymorph: 202.9 meV per atom



[8]
VASP calculation (GGA-PBE) on a relaxed structure of AcEr2AsO8.

Cell and atoms, written as POSCAR:
```
AcEr2AsO8
1.0
4.3357 0.0000 0.0000
0.0000 5.0509 0.0000
-2.1390 0.0000 6.5329
Ac Er As O
1 2 1 8
Cartesian
0.0000 0.0000 0.0000 Ac
-0.0395 2.5255 4.5783 Er
2.2362 2.5255 1.9546 Er
1.0984 0.0000 3.2664 As
0.0958 1.3352 2.5091 O
0.0958 3.7157 2.5091 O
1.0652 2.5255 0.0118 O
0.1056 0.0000 4.9115 O
2.0911 0.0000 1.6213 O
1.1316 2.5255 6.5211 O
2.1010 1.3352 4.0238 O
2.1010 3.7157 4.0238 O
```

Calculated values
* magnetization: 0.0 μB per formula unit
* uncorrected formation energy: -29.79 eV/f.u.
* crystal system: monoclinic
* space group: P2/m
* calculated volume: 11.9 Å³ per atom



[9]
VASP calculation (GGA-PBE) on a relaxed structure of Re2NiAs.

Cell and atoms, written as POSCAR:
```
Re2NiAs
1.0
0.0000 3.0668 3.0668
3.0668 0.0000 3.0668
3.0668 3.0668 0.0000
Re Ni As
2 1 1
Cartesian
0.0000 0.0000 0.0000 Re
1.5334 1.5334 1.5334 Re
4.6003 4.6003 4.6003 Ni
3.0668 3.0668 3.0668 As
```

Calculated values
* magnetization: 0.0 μB per formula unit
* crystal system: cubic
* space group: F-43m
* calculated volume: 14.4 Å³ per atom
* energy relative to the elements: 44.0 kJ/mol of atoms



[10]
VASP calculation (GGA-PBE) on a relaxed structure of Cs2PrPbS4.

Cell and atoms, written as POSCAR:
```
Cs2PrPbS4
1.0
-4.3856 4.5638 6.3649
4.3856 -4.5638 6.3649
4.3856 4.5638 -6.3649
Cs Pr Pb S
4 2 2 8
Cartesian
0.0000 0.0000 0.0000 Cs
-2.1928 2.2819 3.1824 Cs
0.0000 4.5638 0.0000 Cs
2.1928 2.2819 3.1824 Cs
2.1928 2.2819 -3.1824 Pr
2.1928 -2.2819 3.1824 Pr
4.3856 0.0000 0.0000 Pb
0.0000 0.0000 6.3649 Pb
4.3856 -0.3833 2.9659 S
4.3856 4.1805 -2.9659 S
2.5366 2.2819 -0.2584 S
6.2345 2.2819 -0.2584 S
-1.8490 2.2819 6.6233 S
1.8490 2.2819 6.6233 S
0.0000 0.3833 9.3308 S
0.0000 4.9470 3.3989 S
```

Calculated values
* magnetization: 0.0 μB per formula unit
* uncorrected formation energy: -9.13 eV/f.u.
* crystal system: orthorhombic
* space group: Imma
* calculated volume: 31.8 Å³ per atom



[11]
VASP calculation (GGA-PBE) on a relaxed structure of LiMgF.

Cell and atoms, written as POSCAR:
```
LiMgF
1.0
3.1282 0.0000 0.0000
-1.5641 2.7091 0.0000
0.0000 0.0000 11.5245
Li Mg F
2 2 2
Cartesian
0.0000 0.0000 2.7728 Li
0.0000 0.0000 8.7518 Li
0.0000 1.8061 0.0000 Mg
0.0000 1.8061 5.7623 Mg
0.0000 1.8061 2.1906 F
0.0000 1.8061 9.3339 F
```

Calculated values
* magnetization: 0.0 μB per formula unit
* uncorrected formation energy: -5.26 eV/f.u.
* crystal system: hexagonal
* space group: P-6m2
* calculated volume: 16.3 Å³ per atom



[12]
VASP calculation (GGA-PBE) on a relaxed structure of Sr2Ga6Os.

Cell and atoms, written as POSCAR:
```
Sr2Ga6Os
1.0
6.0824 0.0000 0.0000
-3.0412 5.2675 0.0000
0.0000 0.0000 5.8623
Sr Ga Os
2 6 1
Cartesian
0.0000 3.5117 0.9469 Sr
3.0412 1.7558 4.9154 Sr
0.0000 1.7559 3.9681 Ga
-1.5205 4.3895 3.9681 Ga
1.5207 0.8780 1.8942 Ga
1.5205 4.3895 3.9681 Ga
4.5617 0.8780 1.8942 Ga
3.0412 3.5116 1.8942 Ga
0.0000 0.0000 0.0000 Os
```

Calculated values
* magnetization: 0.0 μB per formula unit
* crystal system: trigonal
* space group: P-3m1
* calculated volume: 20.9 Å³ per atom
* energy relative to the elements: -30.9 kJ/mol of atoms